# GGA-PBE BaI3Br, optimized geometry
# Crystal system: cubic
# Electronic total energy in eV/atom: -2.246
data_BaI3Br
_space_group_name_H-M_alt 'P m -3 m'
_space_group_IT_number 221
_space_group_name_Hall '-P 4 2 3'
_cell_length_a 6.102
_cell_length_b 6.102
_cell_length_c 6.102
_cell_angle_alpha 90.00
_cell_angle_beta 90.00
_cell_angle_gamma 90.00
loop_
_atom_site_label
_atom_site_type_symbol
_atom_site_fract_x
_atom_site_fract_y
_atom_site_fract_z
Ba1 Ba 0.000 0.000 0.000
I1 I 0.000 0.500 0.500
Br1 Br 0.500 0.500 0.500

# GGA-PBE Ba4IBr6, optimized geometry
# Crystal system: hexagonal
# Electronic total energy in eV/atom: -3.779
data_Ba4IBr6
_space_group_name_H-M_alt 'P -6 m 2'
_space_group_IT_number 187
_space_group_name_Hall 'P -6 2'
_cell_length_a 10.0344
_cell_length_b 10.0344
_cell_length_c 4.6390
_cell_angle_alpha 90.00
_cell_angle_beta 90.00
_cell_angle_gamma 120.00
loop_
_atom_site_label
_atom_site_type_symbol
_atom_site_fract_x
_atom_site_fract_y
_atom_site_fract_z
Ba1 Ba 0.0000 0.0000 0.0000
Ba2 Ba 0.0193 0.5096 0.5000
I1 I 0.6667 0.3333 0.0000
Br1 Br 0.2066 0.4131 0.0000
Br2 Br 0.2697 0.1349 0.5000

# GGA-PBE Ba7I2Br12, optimized geometry
# Crystal system: hexagonal
# Electronic total energy in eV/atom: -3.875
data_Ba7I2Br12
_space_group_name_H-M_alt 'P -6'
_space_group_IT_number 174
_cell_length_a 13.3554
_cell_length_b 13.3554
_cell_length_c 5.0765
_cell_angle_alpha 90.00
_cell_angle_beta 90.00
_cell_angle_gamma 120.00
loop_
_space_group_symop_operation_xyz
'x,y,z'
'-x+y,-x,-z'
'-y,x-y,z'
'x,y,-z'
'-x+y,-x,z'
'-y,x-y,-z'
loop_
_atom_site_label
_atom_site_type_symbol
_atom_site_fract_x
_atom_site_fract_y
_atom_site_fract_z
Ba1 Ba 0.0000 0.0000 0.0000
Ba2 Ba 0.1214 0.7122 0.5000
Ba3 Ba 0.4160 0.1200 0.0000
I1 I 0.3333 0.6667 0.0000
I2 I 0.6667 0.3333 0.5000
Br1 Br 0.0512 0.4397 0.5000
Br2 Br 0.1169 0.2779 0.0000
Br3 Br 0.2206 0.1256 0.5000
Br4 Br 0.4330 0.3712 0.0000

# GGA-PBE Ba5I12Br3, optimized geometry
# Crystal system: cubic
# Electronic total energy in eV/atom: -2.671
data_Ba5I12Br3
_space_group_name_H-M_alt 'I a -3 d'
_space_group_IT_number 230
_space_group_name_Hall '-I 4bd 2c 3'
_cell_length_a 20.667
_cell_length_b 20.667
_cell_length_c 20.667
_cell_angle_alpha 90.00
_cell_angle_beta 90.00
_cell_angle_gamma 90.00
loop_
_atom_site_label
_atom_site_type_symbol
_atom_site_fract_x
_atom_site_fract_y
_atom_site_fract_z
Ba1 Ba 0.000 0.000 0.000
Ba2 Ba 0.000 0.250 0.375
I1 I 0.033 0.081 0.643
Br1 Br 0.000 0.250 0.125

The evaluated spin magnetization for the records listed, in turn: 0.0 0.2 0.0 42.3 μB/cell.
The evaluated energy relative to the elements, uncorrected for the records listed, in turn: -0.597 -2.027 -2.131 -1.009 eV/atom.